P.
Entry from Alexandria: a relaxed structure of Li2AcCu3 (GGA-PBE).

Cell and atoms, written as CIF:
```
data_Li2AcCu3
_chemical_formula_sum 'Li8 Ac4 Cu12'
_space_group_name_H-M_alt 'C m c m'
_space_group_IT_number 63
_space_group_name_Hall '-C 2c 2'
_cell_length_a 10.2095
_cell_length_b 8.7701
_cell_length_c 5.0054
_cell_angle_alpha 90.00
_cell_angle_beta 90.00
_cell_angle_gamma 90.00
loop_
_atom_site_label
_atom_site_type_symbol
_atom_site_fract_x
_atom_site_fract_y
_atom_site_fract_z
Li1 Li 0.2167 0.0000 0.0000
Ac1 Ac 0.0000 0.2969 0.2500
Cu1 Cu 0.0000 0.0698 0.7500
Cu2 Cu 0.1934 0.2582 0.7500
```

Summary:
* density of states at the Fermi level: 14.230 states/eV/cell
* calculated volume: 18.67 Å³/atom

Q.
Entry from Alexandria: a relaxed structure of Li2AcCu3 (GGA-PBE).

Cell and atoms, written as CIF:
```
data_Li2AcCu3
_chemical_formula_sum 'Li2 Ac1 Cu3'
_space_group_name_H-M_alt 'P 6/m m m'
_space_group_IT_number 191
_space_group_name_Hall '-P 6 2'
_cell_length_a 5.5642
_cell_length_b 5.5642
_cell_length_c 3.9529
_cell_angle_alpha 90.00
_cell_angle_beta 90.00
_cell_angle_gamma 120.00
loop_
_atom_site_label
_atom_site_type_symbol
_atom_site_fract_x
_atom_site_fract_y
_atom_site_fract_z
Li1 Li 0.3333 0.6667 0.0000
Ac1 Ac 0.0000 0.0000 0.0000
Cu1 Cu 0.0000 0.5000 0.5000
```

Summary:
* density of states at the Fermi level: 3.517 states/eV/cell
* calculated volume: 17.66 Å³/atom

Which is the most stable structure? P is the most stable.

P.
Entry from Alexandria: a relaxed structure of LiAcCu4 (GGA-PBE).

Cell and atoms, written as CIF:
```
data_LiAcCu4
_chemical_formula_sum 'Li4 Ac4 Cu16'
_space_group_name_H-M_alt 'F -4 3 m'
_space_group_IT_number 216
_space_group_name_Hall 'F -4 2 3'
_cell_length_a 7.4474
_cell_length_b 7.4474
_cell_length_c 7.4474
_cell_angle_alpha 90.00
_cell_angle_beta 90.00
_cell_angle_gamma 90.00
loop_
_atom_site_label
_atom_site_type_symbol
_atom_site_fract_x
_atom_site_fract_y
_atom_site_fract_z
Li1 Li 0.0000 0.0000 0.0000
Ac1 Ac 0.2500 0.2500 0.2500
Cu1 Cu 0.1284 0.1284 0.6284
```

Summary:
* density of states at the Fermi level: 23.448 states/eV/cell
* calculated volume: 17.21 Å³/atom

Q.
Entry from Alexandria: a relaxed structure of LiAcCu4 (GGA-PBE).

Cell and atoms, written as CIF:
```
data_LiAcCu4
_chemical_formula_sum 'Li8 Ac8 Cu32'
_space_group_name_H-M_alt 'I 4/m m m'
_space_group_IT_number 139
_space_group_name_Hall '-I 4 2'
_cell_length_a 8.9932
_cell_length_b 8.9932
_cell_length_c 11.2565
_cell_angle_alpha 90.00
_cell_angle_beta 90.00
_cell_angle_gamma 90.00
loop_
_atom_site_label
_atom_site_type_symbol
_atom_site_fract_x
_atom_site_fract_y
_atom_site_fract_z
Li1 Li 0.0000 0.1889 0.0000
Ac1 Ac 0.0000 0.0000 0.3357
Ac2 Ac 0.0000 0.5000 0.2500
Cu1 Cu 0.1263 0.3124 0.5000
Cu2 Cu 0.1938 0.1938 0.1655
```

Summary:
* density of states at the Fermi level: 23.063 states/eV/cell
* calculated volume: 18.97 Å³/atom

Which is the most stable structure? P is the most stable.